No. 1
# CaTb3Pd12, optimized geometry, DFT GGA-PBE
data_CaTb3Pd12
_cell_length_a 4.120
_cell_length_b 4.120
_cell_length_c 16.619
_cell_angle_alpha 90.00
_cell_angle_beta 90.00
_cell_angle_gamma 90.00
_space_group_name_H-M_alt 'P 4/m m m'
_space_group_IT_number 123
_space_group_name_Hall '-P 4 2'
loop_
_atom_site_label
_atom_site_fract_x
_atom_site_fract_y
_atom_site_fract_z
Ca1 0.000 0.000 0.000
Tb1 0.000 0.000 0.250
Tb2 0.000 0.000 0.500
Pd1 0.000 0.500 0.127
Pd2 0.000 0.500 0.375
Pd3 0.500 0.500 0.000
Pd4 0.500 0.500 0.250
Pd5 0.500 0.500 0.500
# Crystal system: tetragonal
# Energy of formation in eV/atom: -0.77

No. 2
# Ca2Tb3Pd2, optimized geometry, DFT GGA-PBE
data_Ca2Tb3Pd2
_cell_length_a 12.649
_cell_length_b 3.900
_cell_length_c 9.178
_cell_angle_alpha 90.00
_cell_angle_beta 117.97
_cell_angle_gamma 90.00
_space_group_name_H-M_alt 'C 1 2/m 1'
_space_group_IT_number 12
_space_group_name_Hall '-C 2y'
loop_
_atom_site_label
_atom_site_fract_x
_atom_site_fract_y
_atom_site_fract_z
Ca1 0.161 0.000 0.306
Tb1 0.000 0.500 0.500
Tb2 0.120 0.500 0.939
Pd1 0.163 0.000 0.741
# Crystal system: monoclinic
# Energy of formation in eV/atom: -0.50

No. 3
# CaTb5Pd6, optimized geometry, DFT GGA-PBE
data_CaTb5Pd6
_cell_length_a 8.621
_cell_length_b 14.952
_cell_length_c 4.994
_cell_angle_alpha 90.00
_cell_angle_beta 125.30
_cell_angle_gamma 90.00
_space_group_name_H-M_alt 'C 1 2/m 1'
_space_group_IT_number 12
_space_group_name_Hall '-C 2y'
loop_
_atom_site_label
_atom_site_fract_x
_atom_site_fract_y
_atom_site_fract_z
Ca1 0.000 0.000 0.000
Tb1 0.000 0.162 0.500
Tb2 0.000 0.332 0.000
Tb3 0.000 0.500 0.500
Pd1 0.232 0.500 0.232
Pd2 0.240 0.327 0.740
# Crystal system: monoclinic
# Energy of formation in eV/atom: -0.85

No. 4
# CaTbPd, optimized geometry, DFT GGA-PBE
data_CaTbPd
_cell_length_a 7.283
_cell_length_b 8.485
_cell_length_c 5.912
_cell_angle_alpha 90.00
_cell_angle_beta 100.84
_cell_angle_gamma 90.00
_space_group_name_H-M_alt 'C 1 2/m 1'
_space_group_IT_number 12
_space_group_name_Hall '-C 2y'
loop_
_atom_site_label
_atom_site_fract_x
_atom_site_fract_y
_atom_site_fract_z
Ca1 0.232 0.000 0.436
Tb1 0.000 0.293 0.000
Pd1 0.180 0.000 0.918
# Crystal system: monoclinic
# Energy relative to the lowest polymorph listed for this composition in eV per formula unit: 0.00
# Energy of formation in eV/atom: -0.53